Entry from Alexandria via LeMat-Bulk: a relaxed structure of CsY2F (PBE).

Structure (POSCAR):
```
CsY2F
1.0
0.0000 3.8380 3.8380
3.8380 0.0000 3.8380
3.8380 3.8380 0.0000
Cs Y F
1 2 1
Direct
0.5000 0.5000 0.5000
0.2500 0.2500 0.2500
0.7500 0.7500 0.7500
0.0000 0.0000 0.0000
```

Output
E_form (uncorrected) = 0.270 eV per atom
Calculated total energy = -0.2678 Ry/atom



Entry from Alexandria via LeMat-Bulk: a relaxed structure of CsY2F4 (PBE).

Structure (POSCAR):
```
CsY2F4
1.0
-3.9391 -3.2640 -1.4447
3.0799 -4.1955 1.0813
-2.7430 -3.7756 6.2295
Cs Y F
1 2 4
Direct
0.0000 0.0000 0.0000
0.6422 0.6422 0.7156
0.3578 0.3578 0.2844
0.7891 0.7891 0.4219
0.2109 0.2109 0.5781
0.0000 0.5000 0.0000
0.5000 0.0000 0.0000
```

Output
E_form (uncorrected) = -1.991 eV per atom
Calculated total energy = -0.3696 Ry/atom



Entry from Alexandria via LeMat-Bulk: a relaxed structure of Cs2YF5 (PBE).

Structure (POSCAR):
```
Cs2YF5
1.0
-1.1316 -0.9402 -4.1660
-2.4933 -6.1181 2.0580
-6.2069 2.8781 1.0364
Cs Y F
2 1 5
Direct
0.5000 0.5000 0.0000
0.5000 0.0000 0.5000
0.0000 0.0000 0.0000
0.0000 0.7782 0.7782
0.0000 0.2218 0.7782
0.0000 0.7782 0.2218
0.5000 0.0000 0.0000
0.0000 0.2218 0.2218
```

Output
E_form (uncorrected) = -3.424 eV per atom
Calculated total energy = -0.4127 Ry/atom



Entry from Alexandria via LeMat-Bulk: a relaxed structure of CsYF2 (PBE).

Structure (POSCAR):
```
CsYF2
1.0
3.9513 6.2709 3.4513
6.6572 3.1578 3.5438
6.1692 5.3649 0.0923
Cs Y F
1 1 2
Direct
0.5000 0.5000 0.5000
0.0000 0.0000 0.0000
0.9085 0.9085 0.9085
0.0915 0.0915 0.0915
```

Output
ΔE to the lowest computed polymorph = 0 meV/atom
E_form (uncorrected) = -2.570 eV per atom
Calculated total energy = -0.3921 Ry/atom



Entry from Alexandria via LeMat-Bulk: a relaxed structure of CsYZnF6 (PBE).

Structure (POSCAR):
```
CsYZnF6
1.0
-3.6010 -7.2000 1.4632
6.3734 -3.6671 -2.3596
0.5771 5.5063 5.6381
Cs Y Zn F
2 2 2 12
Direct
0.8230 0.5730 0.6461
0.1770 0.4270 0.3539
0.5000 0.0000 0.5000
0.0000 0.0000 0.5000
0.5000 0.5000 0.0000
0.5000 0.0000 0.0000
0.4529 0.7029 0.9059
0.8292 0.0792 0.6584
0.8120 0.0934 0.2621
0.4501 0.6687 0.2621
0.4501 0.0934 0.2621
0.8120 0.6687 0.2621
0.5471 0.2971 0.0941
0.1708 0.9208 0.3416
0.1880 0.9066 0.7379
0.5499 0.3313 0.7379
0.5499 0.9066 0.7379
0.1880 0.3313 0.7379
```

Output
E_form (uncorrected) = -3.225 eV per atom
Calculated total energy = -0.3989 Ry/atom



Entry from Alexandria via LeMat-Bulk: a relaxed structure of Cs2YZn3F12 (PBE).

Structure (POSCAR):
```
Cs2YZn3F12
1.0
7.7630 0.1788 0.1268
3.9893 6.6620 0.1268
3.9893 2.3221 6.2455
Cs Y Zn F
2 1 3 12
Direct
0.6147 0.6147 0.6147
0.3853 0.3853 0.3853
0.0000 0.0000 0.0000
0.5000 0.0000 0.0000
0.0000 0.5000 0.0000
0.0000 0.0000 0.5000
0.3066 0.3066 0.9188
0.9163 0.9163 0.3474
0.3474 0.9163 0.9163
0.9188 0.3066 0.3066
0.9163 0.3474 0.9163
0.3066 0.9188 0.3066
0.6934 0.6934 0.0812
0.0837 0.0837 0.6526
0.6526 0.0837 0.0837
0.0812 0.6934 0.6934
0.0837 0.6526 0.0837
0.6934 0.0812 0.6934
```

Output
E_form (uncorrected) = -2.741 eV per atom
Calculated total energy = -0.3421 Ry/atom



Q: Which of these has the lowest calculated total energy?
A: Cs2YF5



Repeat the fifth record exactly.
Entry from Alexandria via LeMat-Bulk: a relaxed structure of CsYZnF6 (PBE).

Structure (POSCAR):
```
CsYZnF6
1.0
-3.6010 -7.2000 1.4632
6.3734 -3.6671 -2.3596
0.5771 5.5063 5.6381
Cs Y Zn F
2 2 2 12
Direct
0.8230 0.5730 0.6461
0.1770 0.4270 0.3539
0.5000 0.0000 0.5000
0.0000 0.0000 0.5000
0.5000 0.5000 0.0000
0.5000 0.0000 0.0000
0.4529 0.7029 0.9059
0.8292 0.0792 0.6584
0.8120 0.0934 0.2621
0.4501 0.6687 0.2621
0.4501 0.0934 0.2621
0.8120 0.6687 0.2621
0.5471 0.2971 0.0941
0.1708 0.9208 0.3416
0.1880 0.9066 0.7379
0.5499 0.3313 0.7379
0.5499 0.9066 0.7379
0.1880 0.3313 0.7379
```

Output
E_form (uncorrected) = -3.225 eV per atom
Calculated total energy = -0.3989 Ry/atom